Entry 1:
# GeTe4Pd, relaxed, DFT PBE
data_GeTe4Pd
_space_group_name_H-M_alt 'C m c 21'
_space_group_IT_number 36
_cell_length_a 4.1451
_cell_length_b 15.8485
_cell_length_c 10.7521
_cell_angle_alpha 90.00
_cell_angle_beta 90.00
_cell_angle_gamma 90.00
loop_
_space_group_symop_operation_xyz
'x,y,z'
'-x,-y,z+1/2'
'-x,y,z'
'x,-y,z+1/2'
'x+1/2,y+1/2,z'
'-x+1/2,-y+1/2,z+1/2'
'-x+1/2,y+1/2,z'
'x+1/2,-y+1/2,z+1/2'
loop_
_atom_site_label
_atom_site_fract_x
_atom_site_fract_y
_atom_site_fract_z
Ge1 0.0000 0.2364 0.0000
Te1 0.0000 0.0623 0.6236
Te2 0.0000 0.0821 0.3646
Te3 0.0000 0.2997 0.2361
Te4 0.0000 0.3709 0.5561
Pd1 0.0000 0.3123 0.8000
# Final energy: -0.1429 Ha/atom



Entry 2:
# SmTlIr, relaxed, DFT PBE
data_SmTlIr
_space_group_name_H-M_alt 'F -4 3 m'
_space_group_IT_number 216
_space_group_name_Hall 'F -4 2 3'
_cell_length_a 6.8747
_cell_length_b 6.8747
_cell_length_c 6.8747
_cell_angle_alpha 90.00
_cell_angle_beta 90.00
_cell_angle_gamma 90.00
loop_
_atom_site_label
_atom_site_fract_x
_atom_site_fract_y
_atom_site_fract_z
Sm1 0.0000 0.0000 0.0000
Tl1 0.2500 0.2500 0.2500
Ir1 0.2500 0.2500 0.7500
# Final energy: -0.1852 Ha/atom



Entry 3:
# LiUPt, relaxed, DFT PBE
data_LiUPt
_space_group_name_H-M_alt 'F -4 3 m'
_space_group_IT_number 216
_space_group_name_Hall 'F -4 2 3'
_cell_length_a 6.5101
_cell_length_b 6.5101
_cell_length_c 6.5101
_cell_angle_alpha 90.00
_cell_angle_beta 90.00
_cell_angle_gamma 90.00
loop_
_atom_site_label
_atom_site_fract_x
_atom_site_fract_y
_atom_site_fract_z
Li1 0.0000 0.0000 0.0000
U1 0.2500 0.2500 0.2500
Pt1 0.0000 0.0000 0.5000
# Energy above the most stable polymorph in this dataset: 0.461 eV/atom



Entry 4:
# Li2Zn2GaSnPt2, relaxed, DFT PBE
data_Li2Zn2GaSnPt2
_space_group_name_H-M_alt 'P -4 m 2'
_space_group_IT_number 115
_cell_length_a 4.3964
_cell_length_b 4.3964
_cell_length_c 6.2956
_cell_angle_alpha 90.00
_cell_angle_beta 90.00
_cell_angle_gamma 90.00
loop_
_space_group_symop_operation_xyz
'x,y,z'
'y,-x,-z'
'-x,-y,z'
'-y,x,-z'
'-x,y,z'
'-y,-x,-z'
'x,-y,z'
'y,x,-z'
loop_
_atom_site_label
_atom_site_fract_x
_atom_site_fract_y
_atom_site_fract_z
Li1 0.0000 0.5000 0.2299
Zn1 0.0000 0.0000 0.0000
Zn2 0.5000 0.5000 0.5000
Ga1 0.5000 0.5000 0.0000
Sn1 0.0000 0.0000 0.5000
Pt1 0.0000 0.5000 0.7632
# Final energy: -0.1377 Ha/atom



Entry 5:
# AcPrNO, relaxed, DFT PBE
data_AcPrNO
_space_group_name_H-M_alt 'P 4/n m m'
_space_group_IT_number 129
_cell_length_a 5.3264
_cell_length_b 5.3264
_cell_length_c 5.2215
_cell_angle_alpha 90.00
_cell_angle_beta 90.00
_cell_angle_gamma 90.00
loop_
_space_group_symop_operation_xyz
'x,y,z'
'-x,-y,-z'
'-y+1/2,x,z'
'y+1/2,-x,-z'
'-x+1/2,-y+1/2,z'
'x+1/2,y+1/2,-z'
'y,-x+1/2,z'
'-y,x+1/2,-z'
'x+1/2,-y,-z'
'-x+1/2,y,z'
'-y,-x,-z'
'y,x,z'
'-x,y+1/2,-z'
'x,-y+1/2,z'
'y+1/2,x+1/2,-z'
'-y+1/2,-x+1/2,z'
loop_
_atom_site_label
_atom_site_fract_x
_atom_site_fract_y
_atom_site_fract_z
Ac1 0.2500 0.7500 0.0000
Pr1 0.2500 0.2500 0.4995
N1 0.2500 0.2500 0.0085
O1 0.2500 0.7500 0.5000
# Energy above the most stable polymorph in this dataset: 0.000 eV/atom



Entry 6:
# TbDyNi2Br2, relaxed, DFT PBE
data_TbDyNi2Br2
_space_group_name_H-M_alt 'P 3 m 1'
_space_group_IT_number 156
_cell_length_a 3.9856
_cell_length_b 3.9856
_cell_length_c 11.4559
_cell_angle_alpha 90.00
_cell_angle_beta 90.00
_cell_angle_gamma 120.00
loop_
_space_group_symop_operation_xyz
'x,y,z'
'-y,x-y,z'
'-x+y,-x,z'
'-y,-x,z'
'-x+y,y,z'
'x,x-y,z'
loop_
_atom_site_label
_atom_site_fract_x
_atom_site_fract_y
_atom_site_fract_z
Tb1 0.0000 0.0000 0.0000
Dy1 0.0000 0.0000 0.3181
Ni1 0.3333 0.6667 0.1692
Ni2 0.6667 0.3333 0.1505
Br1 0.3333 0.6667 0.8337
Br2 0.6667 0.3333 0.4833
# Final energy: -0.1856 Ha/atom



Entry 7:
# Nd2SmNi3Pt6, relaxed, DFT PBE
data_Nd2SmNi3Pt6
_space_group_name_H-M_alt 'R -3 m'
_space_group_IT_number 166
_space_group_name_Hall '-R 3 2"'
_cell_length_a 5.4363
_cell_length_b 5.4363
_cell_length_c 25.1798
_cell_angle_alpha 90.00
_cell_angle_beta 90.00
_cell_angle_gamma 120.00
loop_
_atom_site_label
_atom_site_fract_x
_atom_site_fract_y
_atom_site_fract_z
Nd1 0.0000 0.0000 0.1400
Sm1 0.0000 0.0000 0.0000
Ni1 0.0000 0.0000 0.3329
Ni2 0.0000 0.0000 0.5000
Pt1 0.0007 0.5004 0.9181
# ΔH_f (0 K): -0.7872 eV/atom



Entry 8:
# Ag6Ge2O7, relaxed, DFT PBE
data_Ag6Ge2O7
_space_group_name_H-M_alt 'P 1 21 1'
_space_group_IT_number 4
_cell_length_a 5.3998
_cell_length_b 10.0169
_cell_length_c 16.1243
_cell_angle_alpha 90.00
_cell_angle_beta 90.50
_cell_angle_gamma 90.00
loop_
_space_group_symop_operation_xyz
'x,y,z'
'-x,y+1/2,-z'
loop_
_atom_site_label
_atom_site_fract_x
_atom_site_fract_y
_atom_site_fract_z
Ag1 0.1765 0.0042 0.1750
Ag2 0.2012 0.3224 0.5710
Ag3 0.2022 0.7726 0.5485
Ag4 0.2050 0.7623 0.8198
Ag5 0.2086 0.3008 0.0743
Ag6 0.2090 0.9782 0.6784
Ag7 0.2168 0.5000 0.1980
Ag8 0.2223 0.7334 0.0267
Ag9 0.2240 0.5112 0.4267
Ag10 0.2265 0.5279 0.7039
Ag11 0.2265 0.7888 0.3380
Ag12 0.3137 0.5034 0.9175
Ge1 0.2322 0.2556 0.8011
Ge2 0.2575 0.0328 0.9392
Ge3 0.2657 0.0519 0.4659
Ge4 0.2711 0.2469 0.3057
O1 0.0286 0.1684 0.7341
O2 0.0553 0.3466 0.8765
O3 0.0581 0.7377 0.6865
O4 0.0614 0.5454 0.5506
O5 0.0698 0.5329 0.0705
O6 0.3510 0.0985 0.0355
O7 0.3511 0.1129 0.5642
O8 0.3710 0.8683 0.9283
O9 0.3716 0.4155 0.3148
O10 0.3858 0.1770 0.2143
O11 0.3874 0.8903 0.4481
O12 0.4046 0.1314 0.8592
O13 0.4111 0.1603 0.3915
O14 0.4471 0.3592 0.7514
# Final energy: -0.1745 Ha/atom



Entry 9:
# NaLiZrSe3, relaxed, DFT PBE
data_NaLiZrSe3
_space_group_name_H-M_alt 'C m c m'
_space_group_IT_number 63
_space_group_name_Hall '-C 2c 2'
_cell_length_a 3.8887
_cell_length_b 13.4632
_cell_length_c 10.3361
_cell_angle_alpha 90.00
_cell_angle_beta 90.00
_cell_angle_gamma 90.00
loop_
_atom_site_label
_atom_site_fract_x
_atom_site_fract_y
_atom_site_fract_z
Na1 0.0000 0.2488 0.2500
Li1 0.0000 0.0310 0.7500
Zr1 0.0000 0.5000 0.0000
Se1 0.0000 0.1340 0.5556
Se2 0.0000 0.4229 0.7500
# Energy above the most stable polymorph in this dataset: 0.013 eV/atom



Entry 10:
# NdGdFe, relaxed, DFT PBE
data_NdGdFe
_space_group_name_H-M_alt 'F -4 3 m'
_space_group_IT_number 216
_space_group_name_Hall 'F -4 2 3'
_cell_length_a 6.7720
_cell_length_b 6.7720
_cell_length_c 6.7720
_cell_angle_alpha 90.00
_cell_angle_beta 90.00
_cell_angle_gamma 90.00
loop_
_atom_site_label
_atom_site_fract_x
_atom_site_fract_y
_atom_site_fract_z
Nd1 0.0000 0.0000 0.0000
Gd1 0.2500 0.2500 0.7500
Fe1 0.0000 0.0000 0.5000
# Energy above the most stable polymorph in this dataset: 0.000 eV/atom
# ΔH_f (0 K): 0.9285 eV/atom



Entry 11:
# Er2TmMg3Ir2Pt, relaxed, DFT PBE
data_Er2TmMg3Ir2Pt
_space_group_name_H-M_alt 'A m m 2'
_space_group_IT_number 38
_cell_length_a 4.0156
_cell_length_b 12.5923
_cell_length_c 7.2705
_cell_angle_alpha 90.00
_cell_angle_beta 90.00
_cell_angle_gamma 90.00
loop_
_space_group_symop_operation_xyz
'x,y,z'
'-x,-y,z'
'-x,y,z'
'x,-y,z'
'x,y+1/2,z+1/2'
'-x,-y+1/2,z+1/2'
'-x,y+1/2,z+1/2'
'x,-y+1/2,z+1/2'
loop_
_atom_site_label
_atom_site_fract_x
_atom_site_fract_y
_atom_site_fract_z
Er1 0.0000 0.2067 0.0000
Tm1 0.0000 0.0000 0.6200
Mg1 0.5000 0.0000 0.9592
Mg2 0.5000 0.1237 0.3304
Ir1 0.5000 0.1666 0.7066
Pt1 0.0000 0.0000 0.2068
# Final energy: -0.2010 Ha/atom



Entry 12:
# LuGaCoHg, relaxed, DFT PBE
data_LuGaCoHg
_space_group_name_H-M_alt 'F -4 3 m'
_space_group_IT_number 216
_space_group_name_Hall 'F -4 2 3'
_cell_length_a 6.6015
_cell_length_b 6.6015
_cell_length_c 6.6015
_cell_angle_alpha 90.00
_cell_angle_beta 90.00
_cell_angle_gamma 90.00
loop_
_atom_site_label
_atom_site_fract_x
_atom_site_fract_y
_atom_site_fract_z
Lu1 0.0000 0.0000 0.0000
Ga1 0.2500 0.2500 0.2500
Co1 0.0000 0.0000 0.5000
Hg1 0.2500 0.2500 0.7500
# Energy above the most stable polymorph in this dataset: 0.000 eV/atom



Entry 13:
# AgHgO3, relaxed, DFT PBE
data_AgHgO3
_space_group_name_H-M_alt 'R -3'
_space_group_IT_number 148
_space_group_name_Hall '-R 3'
_cell_length_a 5.6130
_cell_length_b 5.6130
_cell_length_c 14.8515
_cell_angle_alpha 90.00
_cell_angle_beta 90.00
_cell_angle_gamma 120.00
loop_
_atom_site_label
_atom_site_fract_x
_atom_site_fract_y
_atom_site_fract_z
Ag1 0.0000 0.0000 0.1565
Hg1 0.0000 0.0000 0.3659
O1 0.0186 0.6353 0.4219
# Final energy: -0.1273 Ha/atom



Entry 14:
# LaBeTcW, relaxed, DFT PBE
data_LaBeTcW
_space_group_name_H-M_alt 'F -4 3 m'
_space_group_IT_number 216
_space_group_name_Hall 'F -4 2 3'
_cell_length_a 6.3906
_cell_length_b 6.3906
_cell_length_c 6.3906
_cell_angle_alpha 90.00
_cell_angle_beta 90.00
_cell_angle_gamma 90.00
loop_
_atom_site_label
_atom_site_fract_x
_atom_site_fract_y
_atom_site_fract_z
La1 0.0000 0.0000 0.0000
Be1 0.0000 0.0000 0.5000
Tc1 0.2500 0.2500 0.7500
W1 0.2500 0.2500 0.2500
# Energy above the most stable polymorph in this dataset: 0.214 eV/atom



Entry 15:
# Nd2TmH6, relaxed, DFT PBE
data_Nd2TmH6
_space_group_name_H-M_alt 'F m -3 m'
_space_group_IT_number 225
_space_group_name_Hall '-F 4 2 3'
_cell_length_a 7.6907
_cell_length_b 7.6907
_cell_length_c 7.6907
_cell_angle_alpha 90.00
_cell_angle_beta 90.00
_cell_angle_gamma 90.00
loop_
_atom_site_label
_atom_site_fract_x
_atom_site_fract_y
_atom_site_fract_z
Nd1 0.2500 0.2500 0.2500
Tm1 0.0000 0.0000 0.0000
H1 0.0000 0.0000 0.2716
# Final energy: -0.1472 Ha/atom



Entry 16:
# Sr2NbIrN2O4, relaxed, DFT PBE
data_Sr2NbIrN2O4
_space_group_name_H-M_alt 'P 1'
_space_group_IT_number 1
_cell_length_a 5.6446
_cell_length_b 5.6465
_cell_length_c 8.0170
_cell_angle_alpha 89.95
_cell_angle_beta 89.93
_cell_angle_gamma 89.65
loop_
_space_group_symop_operation_xyz
'x,y,z'
loop_
_atom_site_label
_atom_site_fract_x
_atom_site_fract_y
_atom_site_fract_z
Sr1 0.0000 0.0000 0.0000
Sr2 0.0127 0.9963 0.5075
Sr3 0.5256 0.5000 0.0029
Sr4 0.5405 0.4970 0.5120
Nb1 0.0401 0.5046 0.7561
Nb2 0.5121 0.9949 0.2555
Ir1 0.0136 0.4968 0.2542
Ir2 0.5000 0.0014 0.7560
N1 0.2636 0.7576 0.7773
N2 0.2661 0.2690 0.2671
N3 0.2836 0.2566 0.7444
N4 0.7573 0.7305 0.2442
O1 0.0169 0.5436 0.5033
O2 0.2467 0.7607 0.2216
O3 0.4951 0.9584 0.5063
O4 0.5285 0.0386 0.0049
O5 0.7528 0.7386 0.7703
O6 0.7762 0.2355 0.2843
O7 0.7798 0.2316 0.7263
O8 0.9851 0.4488 0.0056
# Energy above the most stable polymorph in this dataset: 0.041 eV/atom



Entry 17:
# LiIrO3, relaxed, DFT PBE
data_LiIrO3
_space_group_name_H-M_alt 'R -3 c'
_space_group_IT_number 167
_space_group_name_Hall '-R 3 2"c'
_cell_length_a 5.1369
_cell_length_b 5.1369
_cell_length_c 12.8071
_cell_angle_alpha 90.00
_cell_angle_beta 90.00
_cell_angle_gamma 120.00
loop_
_atom_site_label
_atom_site_fract_x
_atom_site_fract_y
_atom_site_fract_z
Li1 0.0000 0.0000 0.2500
Ir1 0.0000 0.0000 0.0000
O1 0.0000 0.3620 0.2500
# Final energy: -0.2294 Ha/atom



Entry 18:
# NaYHgSe3, relaxed, DFT PBE
data_NaYHgSe3
_space_group_name_H-M_alt 'P n m a'
_space_group_IT_number 62
_cell_length_a 12.8838
_cell_length_b 4.1484
_cell_length_c 12.2513
_cell_angle_alpha 90.00
_cell_angle_beta 90.00
_cell_angle_gamma 90.00
loop_
_space_group_symop_operation_xyz
'x,y,z'
'-x,-y,-z'
'-x+1/2,-y,z+1/2'
'x+1/2,y,-z+1/2'
'x+1/2,-y+1/2,-z+1/2'
'-x+1/2,y+1/2,z+1/2'
'-x,y+1/2,-z'
'x,-y+1/2,z'
loop_
_atom_site_label
_atom_site_fract_x
_atom_site_fract_y
_atom_site_fract_z
Na1 0.1286 0.2500 0.0080
Y1 0.0523 0.2500 0.6716
Hg1 0.2333 0.2500 0.2917
Se1 0.0606 0.7500 0.8415
Se2 0.0748 0.2500 0.4235
Se3 0.2320 0.7500 0.1441
# Energy above the most stable polymorph in this dataset: 0.012 eV/atom



Entry 19:
# BaDyCuTeS2, relaxed, DFT PBE
data_BaDyCuTeS2
_space_group_name_H-M_alt 'C m c m'
_space_group_IT_number 63
_space_group_name_Hall '-C 2c 2'
_cell_length_a 4.0933
_cell_length_b 14.7413
_cell_length_c 10.9573
_cell_angle_alpha 90.00
_cell_angle_beta 90.00
_cell_angle_gamma 90.00
loop_
_atom_site_label
_atom_site_fract_x
_atom_site_fract_y
_atom_site_fract_z
Ba1 0.0000 0.2163 0.2500
Dy1 0.0000 0.0000 0.0000
Cu1 0.0000 0.4788 0.7500
Te1 0.0000 0.0935 0.7500
S1 0.0000 0.3863 0.5761
# Final energy: -0.1881 Ha/atom



Entry 20:
# Gd2YTl2Cd4, relaxed, DFT PBE
data_Gd2YTl2Cd4
_space_group_name_H-M_alt 'A m m 2'
_space_group_IT_number 38
_cell_length_a 4.5792
_cell_length_b 13.1271
_cell_length_c 7.6002
_cell_angle_alpha 90.00
_cell_angle_beta 90.00
_cell_angle_gamma 90.00
loop_
_space_group_symop_operation_xyz
'x,y,z'
'-x,-y,z'
'-x,y,z'
'x,-y,z'
'x,y+1/2,z+1/2'
'-x,-y+1/2,z+1/2'
'-x,y+1/2,z+1/2'
'x,-y+1/2,z+1/2'
loop_
_atom_site_label
_atom_site_fract_x
_atom_site_fract_y
_atom_site_fract_z
Gd1 0.0000 0.2128 0.0000
Y1 0.0000 0.0000 0.3617
Tl1 0.5000 0.1662 0.2871
Cd1 0.0000 0.0000 0.7860
Cd2 0.5000 0.0000 0.0265
Cd3 0.5000 0.1199 0.6670
# Final energy: -0.1113 Ha/atom



Entry 21:
# Zr6GeP2, relaxed, DFT PBE
data_Zr6GeP2
_space_group_name_H-M_alt 'P -6 2 m'
_space_group_IT_number 189
_space_group_name_Hall 'P -6 -2'
_cell_length_a 7.2347
_cell_length_b 7.2347
_cell_length_c 3.8418
_cell_angle_alpha 90.00
_cell_angle_beta 90.00
_cell_angle_gamma 120.00
loop_
_atom_site_label
_atom_site_fract_x
_atom_site_fract_y
_atom_site_fract_z
Zr1 0.0000 0.2598 0.0000
Zr2 0.0000 0.5880 0.5000
Ge1 0.0000 0.0000 0.5000
P1 0.3333 0.6667 0.0000
# Final energy: -0.3060 Ha/atom